{
  "formula": "Tb2PdRu",
  "functional": "SCAN",
  "state": "PBEsol geometry",
  "delta_e_f_ev_per_atom": -0.71,
  "total_energy_ev_per_atom": -40.987,
  "cell": [[4.814, 0.000, 0.000], [2.407, 4.169, 0.000], [2.407, 1.390, 3.931]],
  "species": ["Tb", "Tb", "Ru", "Pd"],
  "fractional_positions": [[0.250, 0.250, 0.250], [0.750, 0.750, 0.750], [0.500, 0.500, 0.500], [0.000, 0.000, 0.000]]
}



{
  "formula": "Ba2SbRh",
  "functional": "SCAN",
  "state": "PBEsol geometry",
  "raw_formation_energy_ev_per_atom": -0.340,
  "total_energy_ev_per_atom": -37.873,
  "cell": [[5.118, 0.000, 0.000], [-2.559, 5.216, 0.084], [0.000, -2.582, 4.419]],
  "species": ["Sb", "Ba", "Ba", "Rh"],
  "fractional_positions": [[0.500, 0.000, 0.500], [0.250, 0.500, 0.750], [0.750, 0.500, 0.250], [0.000, 0.000, 0.000]]
}



{
  "formula": "K2TaNi",
  "functional": "SCAN",
  "state": "PBEsol geometry",
  "delta_e_f_ev_per_atom": 0.59,
  "total_energy_ev_per_atom": -24.263,
  "cell": [[3.274, 0.000, 0.000], [0.000, 3.274, 0.000], [0.000, 0.000, 10.724]],
  "species": ["K", "K", "Ta", "Ni"],
  "fractional_positions": [[0.000, 0.000, 0.932], [0.500, 0.500, 0.337], [0.500, 0.500, 0.657], [0.000, 0.000, 0.574]]
}



{
  "formula": "InCuO3",
  "functional": "SCAN",
  "state": "PBEsol geometry",
  "raw_formation_energy_ev_per_atom": -1.153,
  "total_energy_ev_per_atom": -14.609,
  "cell": [[-2.887, -1.130, -1.384], [-0.150, -3.136, -1.292], [-2.640, -3.413, 4.128]],
  "species": ["O", "O", "O", "In", "Cu"],
  "fractional_positions": [[0.888, 0.888, 0.336], [0.106, 0.106, 0.681], [0.657, 0.657, 0.028], [0.502, 0.502, 0.495], [0.997, 0.997, 0.009]]
}



{
  "formula": "La2AlIn",
  "functional": "SCAN",
  "state": "PBEsol geometry",
  "delta_e_f_ev_per_atom": -0.25,
  "total_energy_ev_per_atom": -32.087,
  "cell": [[3.755, 0.000, 0.000], [1.878, 3.252, 0.000], [1.878, 1.084, 9.783]],
  "species": ["La", "La", "Al", "In"],
  "fractional_positions": [[0.755, 0.755, 0.736], [0.245, 0.245, 0.264], [0.500, 0.500, 0.500], [0.000, 0.000, 0.000]]
}



{
  "formula": "KFeSN2",
  "functional": "SCAN",
  "state": "PBEsol geometry",
  "raw_formation_energy_ev_per_atom": 0.665,
  "total_energy_ev_per_atom": -10.268,
  "cell": [[-0.328, 2.881, 2.354], [2.146, -1.784, 2.482], [3.919, 2.026, -1.933]],
  "species": ["S", "N", "N", "K", "Fe"],
  "fractional_positions": [[0.000, 0.000, 0.500], [0.500, 0.000, 0.000], [0.000, 0.500, 0.000], [0.500, 0.500, 0.500], [0.000, 0.000, 0.000]]
}